No. 1
# CsLi2PaCl8, optimized geometry, DFT PBE
data_CsLi2PaCl8
_chemical_formula_sum 'Cs2 Li4 Pa2 Cl16'
_cell_length_a 10.579
_cell_length_b 7.710
_cell_length_c 9.900
_cell_angle_alpha 90.00
_cell_angle_beta 91.73
_cell_angle_gamma 90.00
_space_group_name_H-M_alt 'C 1 2/m 1'
_space_group_IT_number 12
_space_group_name_Hall '-C 2y'
loop_
_atom_site_label
_atom_site_fract_x
_atom_site_fract_y
_atom_site_fract_z
Cs1 0.000 0.000 0.000
Li1 0.001 0.500 0.849
Pa1 0.000 0.000 0.500
Cl1 0.006 0.236 0.687
Cl2 0.165 0.500 0.007
Cl3 0.236 0.000 0.499
# VASP energy (eV/atom): -4.253
# DOS(E_F) (states/eV per atom): 0.00

=====

No. 2
# CsLiPbCl4, optimized geometry, DFT PBE
data_CsLiPbCl4
_chemical_formula_sum 'Cs2 Li2 Pb2 Cl8'
_cell_length_a 6.912
_cell_length_b 7.181
_cell_length_c 9.433
_cell_angle_alpha 90.00
_cell_angle_beta 109.52
_cell_angle_gamma 90.00
_space_group_name_H-M_alt 'P 1 21/m 1'
_space_group_IT_number 11
_space_group_name_Hall '-P 2yb'
loop_
_atom_site_label
_atom_site_fract_x
_atom_site_fract_y
_atom_site_fract_z
Cs1 0.231 0.250 0.439
Li1 0.271 0.750 0.174
Pb1 0.280 0.250 0.956
Cl1 0.049 0.750 0.928
Cl2 0.073 0.750 0.332
Cl3 0.496 0.000 0.794
# VASP energy (eV/atom): -3.568
# DOS(E_F) (states/eV per atom): 0.00

=====

No. 3
# Cs2Li3PbCl8, optimized geometry, DFT PBE
data_Cs2Li3PbCl8
_chemical_formula_sum 'Cs6 Li9 Pb3 Cl24'
_cell_length_a 7.9523
_cell_length_b 7.9523
_cell_length_c 25.1134
_cell_angle_alpha 90.00
_cell_angle_beta 90.00
_cell_angle_gamma 120.00
_space_group_name_H-M_alt 'R 3 m'
_space_group_IT_number 160
_space_group_name_Hall 'R 3 -2"'
loop_
_atom_site_label
_atom_site_fract_x
_atom_site_fract_y
_atom_site_fract_z
Cs1 0.0000 0.0000 0.0000
Cs2 0.0000 0.0000 0.3523
Li1 0.0568 0.5284 0.8548
Pb1 0.0000 0.0000 0.8192
Cl1 0.0000 0.0000 0.1295
Cl2 0.0000 0.0000 0.7134
Cl3 0.0583 0.5291 0.1438
Cl4 0.1744 0.3488 0.9088
# VASP energy (eV/atom): -3.371
# DOS(E_F) (states/eV per atom): 0.20